<i>
ZrReSb | GGA-PBE | relaxed

abc: 4.6153 4.6153 4.6153
angles: 60.00 60.00 60.00
Positions (direct):
Zr 0.0000 0.0000 0.0000
Re 0.2500 0.2500 0.2500
Sb 0.7500 0.7500 0.7500

total magnetization = 0.0 μB/cell

<ii>
ZrReSb | GGA-PBE | relaxed

abc: 4.6388 4.6388 3.1512
angles: 90.00 90.00 120.00
Positions (direct):
Zr 0.0000 0.0000 0.0000
Re 0.6667 0.3333 0.4287
Sb 0.3333 0.6667 0.4640

total magnetization = 0.0 μB/cell

<iii>
ZrReSb | GGA-PBE | relaxed

abc: 4.5478 4.5478 4.5478
angles: 60.00 60.00 60.00
Positions (direct):
Zr 0.0000 0.0000 0.0000
Re 0.7500 0.7500 0.7500
Sb 0.5000 0.5000 0.5000

total magnetization = 0.0 μB/cell

From most stable to least stable, the computed energies give <ii>, <iii>, <i>.

<i>
ZrReSb | GGA-PBE | relaxed

abc: 5.8910 5.8910 5.8910
angles: 147.42 147.42 46.74
Positions (direct):
Zr 0.0000 0.0000 0.0000
Re 0.3433 0.3433 0.0000
Sb 0.7037 0.7037 0.0000

total magnetization = 0.0 μB/cell

<ii>
ZrReSb | GGA-PBE | relaxed

abc: 3.3077 3.3077 6.5467
angles: 90.00 90.00 120.00
Positions (direct):
Zr 0.0000 0.0000 0.0000
Re 0.6667 0.3333 0.2974
Sb 0.3333 0.6667 0.6152

total magnetization = 0.0 μB/cell

From most stable to least stable, the computed energies give <i>, <ii>.

<i>
Sc4Re3 | GGA-PBE | relaxed

abc: 14.6045 14.6045 14.6045
angles: 167.74 167.74 17.38
Positions (direct):
Sc 0.0576 0.0576 0.0000
Sc 0.3401 0.3401 0.0000
Sc 0.6599 0.6599 0.0000
Sc 0.9424 0.9424 0.0000
Re 0.2250 0.2250 0.0000
Re 0.5000 0.5000 0.0000
Re 0.7750 0.7750 0.0000

total magnetization = 0.0 μB/cell

<ii>
Sc4Re3 | GGA-PBE | relaxed

abc: 5.2695 5.2695 5.5069
angles: 90.00 90.00 120.00
Positions (direct):
Sc 0.0000 0.0000 0.2471
Sc 0.0000 0.0000 0.7529
Sc 0.3333 0.6667 0.5000
Sc 0.6667 0.3333 0.5000
Re 0.0000 0.5000 0.0000
Re 0.5000 0.0000 0.0000
Re 0.5000 0.5000 0.0000

total magnetization = 1.3 μB/cell

From most stable to least stable, the computed energies give <ii>, <i>.

<i>
Sc5Re3 | GGA-PBE | relaxed

abc: 5.8610 5.8610 4.4383
angles: 90.00 90.00 103.85
Positions (direct):
Sc 0.0000 0.0000 0.0000
Sc 0.0000 0.5000 0.0000
Sc 0.2923 0.2923 0.5000
Sc 0.5000 0.0000 0.0000
Sc 0.7077 0.7077 0.5000
Re 0.2154 0.7846 0.5000
Re 0.5000 0.5000 0.0000
Re 0.7846 0.2154 0.5000

total magnetization = 0.0 μB/cell

<ii>
Sc5Re3 | GGA-PBE | relaxed

abc: 8.0530 8.0530 8.0093
angles: 95.99 95.99 141.81
Positions (direct):
Sc 0.0786 0.7198 0.8000
Sc 0.2259 0.4267 0.6401
Sc 0.2455 0.2455 0.9900
Sc 0.2802 0.9214 0.2000
Sc 0.4267 0.2259 0.6401
Sc 0.5733 0.7741 0.3599
Sc 0.7198 0.0786 0.8000
Sc 0.7545 0.7545 0.0100
Sc 0.7741 0.5733 0.3599
Sc 0.9214 0.2802 0.2000
Re 0.1306 0.1306 0.3336
Re 0.2498 0.7502 0.5000
Re 0.3346 0.6654 0.0000
Re 0.6654 0.3346 0.0000
Re 0.7502 0.2498 0.5000
Re 0.8694 0.8694 0.6664

total magnetization = 0.0 μB/cell

From most stable to least stable, the computed energies give <ii>, <i>.

<i>
Sc4Re | GGA-PBE | relaxed

abc: 8.4768 8.4768 8.4768
angles: 154.82 154.82 35.90
Positions (direct):
Sc 0.0847 0.0847 0.0000
Sc 0.2500 0.7500 0.5000
Sc 0.7500 0.2500 0.5000
Sc 0.9153 0.9153 0.0000
Re 0.5000 0.5000 0.0000

total magnetization = 0.0 μB/cell

<ii>
Sc4Re | GGA-PBE | relaxed

abc: 5.2022 5.2022 5.2022
angles: 103.68 103.68 121.81
Positions (direct):
Sc 0.1323 0.6988 0.8312
Sc 0.3012 0.1323 0.4335
Sc 0.6988 0.8677 0.5665
Sc 0.8677 0.3012 0.1688
Re 0.5000 0.5000 0.0000

total magnetization = 0.0 μB/cell

<iii>
Sc4Re | GGA-PBE | relaxed

abc: 5.0636 5.0636 5.0636
angles: 90.00 90.00 90.00
Positions (direct):
Sc 0.0000 0.0000 0.0000
Sc 0.0000 0.5000 0.5000
Sc 0.5000 0.0000 0.5000
Sc 0.5000 0.5000 0.0000
Re 0.5000 0.5000 0.5000

total magnetization = 0.0 μB/cell

From most stable to least stable, the computed energies give <ii>, <iii>, <i>.

<i>
ScReSe | GGA-PBE | relaxed

abc: 5.8536 5.8536 5.8536
angles: 148.78 148.78 44.73
Positions (direct):
Sc 0.0000 0.0000 0.0000
Re 0.6726 0.6726 0.0000
Se 0.2939 0.2939 0.0000

total magnetization = 0.0 μB/cell

<ii>
ScReSe | GGA-PBE | relaxed

abc: 4.3258 4.3258 3.2500
angles: 90.00 90.00 120.00
Positions (direct):
Sc 0.0000 0.0000 0.0000
Re 0.3333 0.6667 0.5000
Se 0.6667 0.3333 0.5000

total magnetization = 0.0 μB/cell

From most stable to least stable, the computed energies give <ii>, <i>.